The following is a PBE calculation of Nb2HgB after structural relaxation, from Alexandria via LeMat-Bulk.

Cell and atoms, written as extended XYZ:
```
8
Lattice="4.5208 -1.5929 0.0000 4.5208 1.5929 0.0000 -4.5181 0.0000 9.1015" Properties=species:S:1:pos:R:3 pbc="T T T"
Nb 0.0000 0.0000 0.0000
Nb -2.1507 0.0000 4.6038
Nb 0.2116 0.0000 3.1561
Nb 6.6317 0.0000 1.4491
Hg 2.0103 0.0000 7.5184
Hg 4.4364 0.0000 6.0011
B 2.8292 0.0000 2.9834
B 4.0137 0.0000 1.5899
```

Results
* symmetry: No. 8
* polymorph energy (0 for the lowest one): 0.115 eV/atom
* total moment: 0.00 μB per atom
* DFT total energy: -6.930 eV per atom